A geometry-optimized Cr2SiO4 structure, computed with PBE with a Hubbard U.

Structure (CIF):
```
data_Cr2SiO4
_chemical_formula_sum 'Cr16 Si8 O32'
_cell_length_a 5.7484
_cell_length_b 9.9984
_cell_length_c 11.4157
_cell_angle_alpha 90.00
_cell_angle_beta 90.00
_cell_angle_gamma 90.00
_space_group_name_H-M_alt 'F d d d'
_space_group_IT_number 70
loop_
_space_group_symop_operation_xyz
'x,y,z'
'-x,-y,-z'
'-x+1/4,-y+1/4,z'
'x+1/4,y+1/4,-z'
'x,-y+1/4,-z+1/4'
'-x,y+1/4,z+1/4'
'-x+1/4,y,-z+1/4'
'x+1/4,-y,z+1/4'
'x,y+1/2,z+1/2'
'-x,-y+1/2,-z+1/2'
'-x+1/4,-y+3/4,z+1/2'
'x+1/4,y+3/4,-z+1/2'
'x,-y+3/4,-z+3/4'
'-x,y+3/4,z+3/4'
'-x+1/4,y+1/2,-z+3/4'
'x+1/4,-y+1/2,z+3/4'
'x+1/2,y,z+1/2'
'-x+1/2,-y,-z+1/2'
'-x+3/4,-y+1/4,z+1/2'
'x+3/4,y+1/4,-z+1/2'
'x+1/2,-y+1/4,-z+3/4'
'-x+1/2,y+1/4,z+3/4'
'-x+3/4,y,-z+3/4'
'x+3/4,-y,z+3/4'
'x+1/2,y+1/2,z'
'-x+1/2,-y+1/2,-z'
'-x+3/4,-y+3/4,z'
'x+3/4,y+3/4,-z'
'x+1/2,-y+3/4,-z+1/4'
'-x+1/2,y+3/4,z+1/4'
'-x+3/4,y+1/2,-z+1/4'
'x+3/4,-y+1/2,z+1/4'
loop_
_atom_site_label
_atom_site_type_symbol
_atom_site_fract_x
_atom_site_fract_y
_atom_site_fract_z
Cr1 Cr 0.1250 0.2821 0.1250
Si1 Si 0.1250 0.1250 0.6250
O1 O 0.0425 0.2729 0.9510
```

Results
- Calculated density: 3.97 g cm⁻³
- Total DFT energy (no corrections): -7.867 eV/atom
- Total magnetic moment: 8.0 μB per formula unit